The following is a PBE calculation of crystalline BeCu2 at its relaxed geometry, from Alexandria via LeMat-Bulk.

Cell: 2.4781 2.4781 19.1786 Å, 90.00 90.00 120.00°
Fractional positions:
1 Be 0.0000 0.0000 0.5000
2 Be 0.3333 0.6667 0.8410
3 Be 0.6667 0.3333 0.1590
4 Cu 0.0000 0.0000 0.9365
5 Cu 0.0000 0.0000 0.0635
6 Cu 0.3333 0.6667 0.7253
7 Cu 0.6667 0.3333 0.2747
8 Cu 0.3333 0.6667 0.5966
9 Cu 0.6667 0.3333 0.4034

Summary:
The value obtained for the formation energy is 0.1828 eV per atom. The space group is No. 164.

The following is a PBE calculation of crystalline MgZr3Sb at its relaxed geometry, from Alexandria via LeMat-Bulk.

Cell: 5.3145 5.3145 5.3145 Å, 90.00 90.00 90.00°
Fractional positions:
1 Sb 0.0000 0.0000 0.0000
2 Mg 0.5000 0.5000 0.5000
3 Zr 0.0000 0.5000 0.0000
4 Zr 0.0000 0.0000 0.5000
5 Zr 0.5000 0.0000 0.0000

Summary:
The value obtained for the energy above the most stable polymorph in this dataset is 0 meV/atom. Its uncorrected formation energy is 54 kJ/mol of atoms. The space group is No. 221.